Density functional theory data (PBE-GGA) for crystalline NaAcY2 at its relaxed geometry.

Unit cell a=3.665 b=3.665 c=13.155 alpha=81.99 beta=81.99 gamma=60.00
Fractional coordinates of all 4 atoms:
Y: 0.909 0.909 0.272
Y: 0.091 0.091 0.728
Na: 0.000 0.000 0.000
Ac: 0.500 0.500 0.500

Volume   37.75 Å³/atom
DFT formation energy   0.9 eV/f.u.
Density of states at the Fermi level   5.42 states/eV/f.u.
E_tot   -4.357 eV/atom
Energy relative to the lowest polymorph listed for this composition   37 meV per atom
Theoretical density   4.70 g/cm³